A plane-wave DFT calculation with PBE with a Hubbard U was carried out for a geometry-optimized Li5Fe2Co3O10 structure.

Output
- Uncorrected energy: -5.4970 eV/atom
- D(E_F): 1.518 states/eV/cell
- Space-group type: P-1
- E above lowest polymorph: 216 meV per atom

a = 5.581 Å, b = 5.997 Å, c = 6.540 Å
α = 99.06°, β = 99.06°, γ = 111.71°
Fractional coordinates of all 20 atoms:
Li1 0.000 0.000 0.000
Li2 0.253 0.880 0.438
Li3 0.352 0.292 0.781
Li4 0.648 0.708 0.219
Li5 0.747 0.120 0.562
Fe1 0.458 0.756 0.798
Fe2 0.542 0.244 0.202
Co1 0.000 0.500 0.000
Co2 0.189 0.407 0.398
Co3 0.811 0.593 0.602
O1 0.072 0.419 0.688
O2 0.170 0.926 0.780
O3 0.254 0.871 0.999
O4 0.284 0.409 0.109
O5 0.445 0.234 0.481
O6 0.555 0.766 0.519
O7 0.716 0.591 0.891
O8 0.746 0.129 0.001
O9 0.830 0.074 0.220
O10 0.928 0.581 0.312